[1]
This record from Alexandria via LeMat-Bulk describes CrHgRu2 after structural relaxation. The functional is GGA-PBEsol.

a = 3.851 Å, b = 3.851 Å, c = 7.756 Å
α = 90.00°, β = 90.00°, γ = 90.00°
Space group I4/mmm (No. 139)
Asymmetric unit:
Cr 0.000 0.000 0.000
Hg 0.000 0.000 0.500
Ru 0.000 0.500 0.250

Results
Formation energy = 12.1 kcal/mol of atoms
E = -58.12 eV/cell

***

[2]
This record from Alexandria via LeMat-Bulk describes Rb2NaAu after structural relaxation. The functional is GGA-PBEsol.

a = 8.503 Å, b = 8.503 Å, c = 8.503 Å
α = 90.00°, β = 90.00°, γ = 90.00°
Space group Fm-3m (No. 225)
Asymmetric unit:
Rb 0.250 0.250 0.250
Na 0.000 0.000 0.000
Au 0.000 0.000 0.500

Results
Offset from the most stable computed form = 2.32 kJ/mol of atoms
Formation energy = 0.2 kcal/mol of atoms
E = -29.34 eV/cell

***

Q: Number 2 is which compound?
A: Rb2NaAu

***

Q: Number 1 is which compound?
A: CrHgRu2